Crystalline Ta3Fe at its relaxed geometry. Source: Alexandria via LeMat-Bulk, functional PBE.

Unit cell a=8.8801 b=8.8801 c=8.8801 alpha=19.41 beta=19.41 gamma=19.41
Fractional positions:
Ta (0.0000, 0.0000, 0.0000)
Ta (0.2418, 0.2418, 0.2418)
Ta (0.7582, 0.7582, 0.7582)
Fe (0.5000, 0.5000, 0.5000)

The electronic total energy is -43.24 eV for the cell shown. The symmetry is No. 166. For the formation energy, the calculation gives 0.20 eV per atom. The value obtained for the density of states at the Fermi level is 4.03 states/eV per cell. The value obtained for the density is 14.707 g/cm³.